# LuSi6 | Alexandria via LeMat-Bulk | PBE-GGA | optimized geometry
data_LuSi6
_chemical_formula_sum 'Lu1 Si6'
_cell_length_a 5.7625
_cell_length_b 5.7625
_cell_length_c 5.7625
_cell_angle_alpha 109.47
_cell_angle_beta 109.47
_cell_angle_gamma 109.47
_symmetry_space_group_name_H-M 'P 1'
_symmetry_Int_Tables_number 1
loop_
_symmetry_equiv_pos_as_xyz
'x,y,z'
loop_
_atom_site_label
_atom_site_fract_x
_atom_site_fract_y
_atom_site_fract_z
Lu1 0.0000 0.0000 0.0000
Si1 0.2500 0.7500 0.5000
Si2 0.5000 0.7500 0.2500
Si3 0.2500 0.5000 0.7500
Si4 0.7500 0.2500 0.5000
Si5 0.5000 0.2500 0.7500
Si6 0.7500 0.5000 0.2500
# E = -5.052 eV per atom
# E_form (uncorrected) = 0.2421 eV/atom
# Symmetry = No. 229